Be2Al2In | GGA-PBE | relaxed

Summary:
The size of the total moment is 0.000 μB per atom. The total energy is -15.7 eV/cell. The formation energy is 37 kJ/mol of atoms. As for the theoretical density: 3.76 g/cm³.

Cell: 3.8253 3.8253 6.2558 Å, 72.20 72.20 90.00°
Sites, in units of the cell vectors:
Al  0.6169  0.6169  0.7662
In  0.0000  0.0000  0.0000
Be  0.2500  0.7500  0.5000
Be  0.7500  0.2500  0.5000
Al  0.3831  0.3831  0.2338